No. 1
The following is a PBE-GGA calculation of LaTaCl2 after structural relaxation, from Alexandria via LeMat-Bulk.

Values from the calculation:
**Raw total energy**: -5.87 eV/atom
**SG**: R3m (160)
**Relative energy among the computed polymorphs**: 0 meV/atom

```
LaTaCl2
1.0
-6.5171 -6.0397 4.6873
-7.6543 -6.3610 1.3679
-4.9835 -8.3522 2.5156
Cl La Ta
2 1 1
Cartesian
-0.4279 -0.4636 0.1915
-4.5173 -4.8942 2.0213
-9.5502 -10.3470 4.2732
-14.2369 -15.4247 6.3703
```



No. 2
The following is a PBE-GGA calculation of LaTa3Cl after structural relaxation, from Alexandria via LeMat-Bulk.

Values from the calculation:
**Raw total energy**: -7.71 eV/atom
**SG**: Pm-3m (221)
**Relative energy among the computed polymorphs**: 0 meV/atom

```
LaTa3Cl
1.0
-4.0129 -2.4015 -0.7562
1.0564 -2.8975 3.5959
-2.2854 2.8774 2.9899
Cl La Ta
1 1 3
Cartesian
0.0000 0.0000 0.0000
-2.6209 -1.2108 2.9148
0.5282 -1.4488 1.7980
-1.1427 1.4387 1.4950
-2.0064 -1.2008 -0.3781
```



No. 3
The following is a PBE-GGA calculation of La2TaCl after structural relaxation, from Alexandria via LeMat-Bulk.

Values from the calculation:
**Raw total energy**: -6.20 eV/atom
**SG**: Amm2 (38)
**Relative energy among the computed polymorphs**: 85 meV/atom

```
La2TaCl
1.0
-1.9941 -0.2020 5.8643
1.2043 -1.1647 5.9666
1.4770 4.9788 0.6732
Cl La Ta
1 2 1
Cartesian
-0.0129 0.2807 3.0450
0.1834 0.6200 0.0998
0.3321 2.0891 9.2770
0.5284 2.4286 6.3328
```